Compound: SrSc2Si
Source: Alexandria via LeMat-Bulk
Functional: GGA-PBE
Structure: relaxed

Uncorrected energy, eV/atom: -4.800
Magnetic moment, μB per atom: 0.34

a = 7.2804 Å, b = 7.2804 Å, c = 7.2804 Å
α = 90.00°, β = 90.00°, γ = 90.00°
Last column: nearest neighbours and their distance in Å.
Positions (direct):
Sr (0.0000, 0.0000, 0.0000)  4 Sc 3.15, 4 Si 3.15
Sr (0.0000, 0.5000, 0.5000)  4 Sc 3.15, 4 Si 3.15
Sr (0.5000, 0.0000, 0.5000)  4 Sc 3.15, 4 Si 3.15
Sr (0.5000, 0.5000, 0.0000)  4 Sc 3.15, 4 Si 3.15
Sc (0.0000, 0.0000, 0.5000)  4 Sc 3.15, 4 Si 3.15
Sc (0.0000, 0.5000, 0.0000)  4 Sc 3.15, 4 Si 3.15
Sc (0.2500, 0.2500, 0.7500)  4 Sc 3.15, 4 Sr 3.15
Sc (0.2500, 0.7500, 0.2500)  4 Sc 3.15, 4 Sr 3.15
Sc (0.5000, 0.0000, 0.0000)  4 Sc 3.15, 4 Si 3.15
Sc (0.5000, 0.5000, 0.5000)  4 Si 3.15, 4 Sc 3.15
Sc (0.7500, 0.2500, 0.2500)  4 Sc 3.15, 4 Sr 3.15
Sc (0.7500, 0.7500, 0.7500)  4 Sc 3.15, 4 Sr 3.15
Si (0.2500, 0.2500, 0.2500)  4 Sc 3.15, 4 Sr 3.15
Si (0.2500, 0.7500, 0.7500)  4 Sc 3.15, 4 Sr 3.15
Si (0.7500, 0.2500, 0.7500)  4 Sc 3.15, 4 Sr 3.15
Si (0.7500, 0.7500, 0.2500)  4 Sc 3.15, 4 Sr 3.15